Density functional theory data (GGA-PBE) for SmMgCd2 after structural relaxation.

Geometry as CIF:
```
data_SmMgCd2
_space_group_name_H-M_alt 'P 4/m m m'
_space_group_IT_number 123
_space_group_name_Hall '-P 4 2'
_cell_length_a 3.447
_cell_length_b 3.447
_cell_length_c 8.173
_cell_angle_alpha 90.00
_cell_angle_beta 90.00
_cell_angle_gamma 90.00
loop_
_atom_site_label
_atom_site_fract_x
_atom_site_fract_y
_atom_site_fract_z
Sm1 0.000 0.000 0.000
Mg1 0.000 0.000 0.500
Cd1 0.500 0.500 0.274
```

Values from the calculation:
- Volume: 97 Å³ per cell
- Density: 6829 kg/m3
- Formation energy from the elements: -0.24 eV/atom